[1]
Below is a geometry-optimized Sm2SO structure, with properties calculated at the GGA-PBE level.

The excess energy over the best structure of this formula in the dataset comes out at 73 kJ/mol of formula units.

The structure belongs to space group R3m (No. 160, hexagonal axes); the cell edges are 3.6617, 3.6617 and 19.9501 Å and the angles 90.00°, 90.00° and 120.00°. The asymmetric unit holds Sm at (0.0000, 0.0000, 0.0000), Sm at (0.0000, 0.0000, 0.1603), S at (0.0000, 0.0000, 0.5799) and O at (0.0000, 0.0000, 0.7508).

***

[2]
Below is a geometry-optimized Sm2S2O structure, with properties calculated at the GGA-PBE level.

The excess energy over the best structure of this formula in the dataset comes out at 14 kJ/mol of formula units.

The structure belongs to space group Cmc2_1 (No. 36); the cell edges are 3.928, 15.044 and 7.156 Å and the angles 90.00°, 90.00° and 90.00°. The asymmetric unit holds Sm at (0.000, 0.052, 0.000), Sm at (0.000, 0.335, 0.897), S at (0.000, 0.298, 0.517), S at (0.000, 0.453, 0.194) and O at (0.000, 0.094, 0.332).

***

The records above give, respectively, total DFT energy (no corrections) values of -6.773 -7.091 eV per atom.